1.
The following is a GGA-PBE calculation of crystalline TaCd2Te at its relaxed geometry, from Alexandria via LeMat-Bulk.

Calculated values
The crystal system is monoclinic. As for the symmetry: C2/m, No. 12.

```
TaCd2Te
1.0
6.836 0.362 -0.195
5.927 3.426 -0.195
1.078 0.320 4.472
Cd Te Ta
2 1 1
direct
0.048 0.048 0.969
0.452 0.452 0.531
0.250 0.250 0.250
0.750 0.750 0.750
```



2.
The following is a GGA-PBE calculation of crystalline AlTcRu at its relaxed geometry, from Alexandria via LeMat-Bulk.

Calculated values
The energy relative to the elements comes out at -398 meV per atom. The crystal system is tetragonal. The calculation puts the energy above the most stable polymorph in this dataset at 0 kJ/mol of formula units. As for the symmetry: I4mm, No. 107.

```
AlTcRu
1.0
5.352 -0.019 0.000
3.781 3.788 0.000
-4.567 -1.884 2.059
Ru Tc Al
1 1 1
direct
0.336 0.336 0.000
0.667 0.667 0.000
0.997 0.997 0.000
```



3.
The following is a GGA-PBE calculation of crystalline CaMgAu4 at its relaxed geometry, from Alexandria via LeMat-Bulk.

Calculated values
The energy relative to the elements comes out at -475 meV per atom. The crystal system is cubic. The calculation puts the energy above the most stable polymorph in this dataset at 42 kJ/mol of formula units. As for the symmetry: F-43m, No. 216.

```
CaMgAu4
1.0
0.000 3.967 3.967
3.967 0.000 3.967
3.967 3.967 0.000
Ca Mg Au
1 1 4
direct
0.750 0.750 0.750
0.000 0.000 0.000
0.876 0.375 0.375
0.375 0.375 0.876
0.375 0.876 0.375
0.375 0.375 0.375
```



4.
The following is a GGA-PBE calculation of crystalline Er3Ge3Ir2 at its relaxed geometry, from Alexandria via LeMat-Bulk.

Calculated values
The energy relative to the elements comes out at -883 meV per atom. The crystal system is orthorhombic. The calculation puts the energy above the most stable polymorph in this dataset at 39 kJ/mol of formula units. As for the symmetry: Pnma, No. 62.

```
Er3Ge3Ir2
1.0
5.616 0.000 0.000
0.000 8.129 0.000
0.000 0.000 14.149
Er Ge Ir
12 12 8
direct
0.118 0.457 0.386
0.618 0.043 0.614
0.882 0.543 0.886
0.382 0.957 0.114
0.882 0.543 0.614
0.382 0.957 0.386
0.118 0.457 0.114
0.618 0.043 0.886
0.635 0.310 0.250
0.135 0.190 0.750
0.365 0.690 0.750
0.865 0.810 0.250
0.114 0.166 0.250
0.614 0.334 0.750
0.886 0.834 0.750
0.386 0.666 0.250
0.626 0.297 0.463
0.126 0.203 0.537
0.374 0.703 0.963
0.874 0.797 0.037
0.374 0.703 0.537
0.874 0.797 0.463
0.626 0.297 0.037
0.126 0.203 0.963
0.883 0.076 0.401
0.383 0.424 0.599
0.117 0.924 0.901
0.617 0.576 0.099
0.117 0.924 0.599
0.617 0.576 0.401
0.883 0.076 0.099
0.383 0.424 0.901
```



5.
The following is a GGA-PBE calculation of crystalline Er3ThTc at its relaxed geometry, from Alexandria via LeMat-Bulk.

Calculated values
The energy relative to the elements comes out at -54 meV per atom. The crystal system is monoclinic. The calculation puts the energy above the most stable polymorph in this dataset at 17 kJ/mol of formula units. As for the symmetry: C2/m, No. 12.

```
Er3ThTc
1.0
-5.738 4.103 -1.777
-2.595 -6.454 2.128
3.987 2.653 5.459
Er Th Tc
6 2 2
direct
0.844 0.052 0.291
0.240 0.447 0.291
0.760 0.553 0.709
0.706 0.451 0.158
0.156 0.948 0.709
0.294 0.549 0.842
0.715 0.049 0.764
0.285 0.951 0.236
0.621 0.764 0.386
0.379 0.236 0.614
```



6.
The following is a GGA-PBE calculation of crystalline TaCd2Ag at its relaxed geometry, from Alexandria via LeMat-Bulk.

Calculated values
The energy relative to the elements comes out at 363 meV per atom. The crystal system is monoclinic. The calculation puts the energy above the most stable polymorph in this dataset at 82 kJ/mol of formula units. As for the symmetry: C2/m, No. 12.

```
TaCd2Ag
1.0
5.546 0.035 0.062
4.804 2.771 0.062
1.513 0.410 5.161
Cd Ag Ta
2 1 1
direct
0.994 0.994 0.002
0.506 0.506 0.498
0.250 0.250 0.250
0.750 0.750 0.750
```



7.
The following is a GGA-PBE calculation of crystalline Li5Tl2Pd12 at its relaxed geometry, from Alexandria via LeMat-Bulk.

Calculated values
The energy relative to the elements comes out at -296 meV per atom. The crystal system is monoclinic. As for the symmetry: C2/m, No. 12.

```
Li5Tl2Pd12
1.0
8.762 0.000 0.000
-4.381 6.923 0.454
0.000 -1.562 4.828
Li Tl Pd
5 2 12
direct
0.220 0.441 0.461
0.352 0.705 0.130
0.000 0.000 0.500
0.648 0.295 0.870
0.780 0.559 0.539
0.796 0.000 0.000
0.204 0.000 0.000
0.841 0.682 0.080
0.074 0.599 0.796
0.524 0.599 0.796
0.154 0.797 0.394
0.643 0.797 0.394
0.449 0.897 0.721
0.551 0.103 0.279
0.846 0.203 0.606
0.357 0.203 0.606
0.926 0.401 0.204
0.476 0.401 0.204
0.159 0.318 0.920
```



8.
The following is a GGA-PBE calculation of crystalline ReMoW2 at its relaxed geometry, from Alexandria via LeMat-Bulk.

Calculated values
The energy relative to the elements comes out at 37 meV per atom. The crystal system is monoclinic. The calculation puts the energy above the most stable polymorph in this dataset at 12 kJ/mol of formula units. As for the symmetry: Pm, No. 6.

```
ReMoW2
1.0
-1.600 4.092 -0.809
-2.121 -0.500 1.667
1.971 1.672 4.558
Re Mo W
1 1 2
direct
0.500 0.756 0.753
0.000 0.491 0.498
0.000 0.002 0.997
0.500 0.250 0.253
```



9.
The following is a GGA-PBE calculation of crystalline CdSbSe2 at its relaxed geometry, from Alexandria via LeMat-Bulk.

Calculated values
The crystal system is tetragonal. The calculation puts the energy above the most stable polymorph in this dataset at 50 kJ/mol of formula units. As for the symmetry: I4/mmm, No. 139.

```
CdSbSe2
1.0
-1.976 0.267 4.656
-3.360 -2.166 -3.118
-1.083 -4.655 1.683
Cd Sb Se
1 1 2
direct
0.000 0.500 0.500
0.500 0.500 0.000
0.000 0.000 0.000
0.500 0.000 0.500
```



10.
The following is a GGA-PBE calculation of crystalline GaPPbCl2 at its relaxed geometry, from Alexandria via LeMat-Bulk.

Calculated values
The crystal system is tetragonal. The calculation puts the energy above the most stable polymorph in this dataset at 0 kJ/mol of formula units. As for the symmetry: P4/mmm, No. 123.

```
GaPPbCl2
1.0
-4.392 -0.724 3.027
3.095 -0.465 4.380
-0.333 5.400 0.809
Pb P Ga Cl
1 1 1 2
direct
0.500 0.500 0.500
0.000 0.000 0.500
0.000 0.000 0.000
0.000 0.500 0.000
0.500 0.000 0.000
```



11.
The following is a GGA-PBE calculation of crystalline Li2CuSn at its relaxed geometry, from Alexandria via LeMat-Bulk.

Calculated values
The energy relative to the elements comes out at -4 meV per atom. The crystal system is tetragonal. As for the symmetry: I-42d, No. 122.

```
Li2CuSn
1.0
-1.482 4.661 -5.661
-3.132 -5.624 -3.811
-4.607 0.079 -3.673
Sn Cu Li
2 2 4
direct
0.000 0.000 0.000
0.750 0.250 0.500
0.500 0.500 0.000
0.250 0.750 0.500
0.586 0.125 0.250
0.164 0.625 0.250
0.375 0.414 0.750
0.875 0.836 0.750
```



12.
The following is a GGA-PBE calculation of crystalline Li4Bi2H at its relaxed geometry, from Alexandria via LeMat-Bulk.

Calculated values
The crystal system is tetragonal. As for the symmetry: I4/mmm, No. 139.

```
Li4Bi2H
1.0
-3.437 -1.058 2.100
-1.499 -1.880 -3.400
5.583 -4.656 2.663
H Bi Li
1 2 4
direct
0.000 0.000 0.000
0.662 0.662 0.324
0.338 0.338 0.676
0.864 0.864 0.728
0.136 0.136 0.272
0.000 0.500 0.000
0.500 0.000 0.000
```



Looking at DFT total energy for the records above, in order, we have -3.846 -8.193 -3.260 -6.541 -6.349 -3.770 -4.329 -12.259 -3.139 -3.211 -2.985 -2.974 eV/atom.